(1)
# Li2CaNi | Alexandria via LeMat-Bulk | GGA-PBE | optimized geometry
# Energy relative to the lowest polymorph listed for this composition, eV per atom: 0.0851
# Formation enthalpy at 0 K, meV/atom: 134
# Space group: P2/m
# DFT total energy, eV per atom: -2.7691
# Total magnetic moment, Bohr magnetons per cell: 0.00
data_Li2CaNi
_symmetry_space_group_name_H-M 'P 1'
_symmetry_Int_Tables_number 1
_symmetry_space_group_name_Hall 'P 1'
_cell_length_a 3.422
_cell_length_b 4.796
_cell_length_c 4.826
_cell_angle_alpha 90.00
_cell_angle_beta 97.27
_cell_angle_gamma 90.00
loop_
_atom_site_label
_atom_site_type_symbol
_atom_site_fract_x
_atom_site_fract_y
_atom_site_fract_z
Li1 Li 0.203 0.000 0.305
Li2 Li 0.797 0.000 0.695
Ca1 Ca 0.500 0.500 0.000
Ni1 Ni 0.000 0.500 0.500



(2)
# LiCa4Ni | Alexandria via LeMat-Bulk | GGA-PBE | optimized geometry
# Energy relative to the lowest polymorph listed for this composition, eV per atom: 0.0000
# Formation enthalpy at 0 K, meV/atom: -25
# Space group: C2/c
# DFT total energy, eV per atom: -2.6417
# Total magnetic moment, Bohr magnetons per cell: 0.00
data_LiCa4Ni
_symmetry_space_group_name_H-M 'P 1'
_symmetry_Int_Tables_number 1
_symmetry_space_group_name_Hall 'P 1'
_cell_length_a 8.161
_cell_length_b 8.161
_cell_length_c 6.391
_cell_angle_alpha 100.52
_cell_angle_beta 100.52
_cell_angle_gamma 110.79
loop_
_atom_site_label
_atom_site_type_symbol
_atom_site_fract_x
_atom_site_fract_y
_atom_site_fract_z
Li1 Li 0.123 0.877 0.750
Li2 Li 0.877 0.123 0.250
Ca1 Ca 0.142 0.303 0.876
Ca2 Ca 0.230 0.563 0.449
Ca3 Ca 0.303 0.142 0.376
Ca4 Ca 0.437 0.770 0.051
Ca5 Ca 0.563 0.230 0.949
Ca6 Ca 0.697 0.858 0.624
Ca7 Ca 0.770 0.437 0.551
Ca8 Ca 0.858 0.697 0.124
Ni1 Ni 0.499 0.501 0.250
Ni2 Ni 0.501 0.499 0.750



(3)
# LiCaNi | Alexandria via LeMat-Bulk | GGA-PBE | optimized geometry
# Energy relative to the lowest polymorph listed for this composition, eV per atom: 0.0196
# Formation enthalpy at 0 K, meV/atom: -45
# Space group: C2/m
# DFT total energy, eV per atom: -3.2769
# Total magnetic moment, Bohr magnetons per cell: 0.00
data_LiCaNi
_symmetry_space_group_name_H-M 'P 1'
_symmetry_Int_Tables_number 1
_symmetry_space_group_name_Hall 'P 1'
_cell_length_a 6.713
_cell_length_b 6.713
_cell_length_c 5.357
_cell_angle_alpha 102.19
_cell_angle_beta 102.19
_cell_angle_gamma 34.51
loop_
_atom_site_label
_atom_site_type_symbol
_atom_site_fract_x
_atom_site_fract_y
_atom_site_fract_z
Li1 Li 0.095 0.095 0.297
Li2 Li 0.905 0.905 0.703
Ca1 Ca 0.363 0.363 0.179
Ca2 Ca 0.637 0.637 0.821
Ni1 Ni 0.269 0.269 0.611
Ni2 Ni 0.731 0.731 0.389



(4)
# LiCa4Ni | Alexandria via LeMat-Bulk | GGA-PBE | optimized geometry
# Energy relative to the lowest polymorph listed for this composition, eV per atom: 0.7070
# Formation enthalpy at 0 K, meV/atom: 682
# Space group: F-43m
# DFT total energy, eV per atom: -1.9347
# Total magnetic moment, Bohr magnetons per cell: 0.01
data_LiCa4Ni
_symmetry_space_group_name_H-M 'P 1'
_symmetry_Int_Tables_number 1
_symmetry_space_group_name_Hall 'P 1'
_cell_length_a 6.717
_cell_length_b 6.717
_cell_length_c 6.717
_cell_angle_alpha 60.00
_cell_angle_beta 60.00
_cell_angle_gamma 60.00
loop_
_atom_site_label
_atom_site_type_symbol
_atom_site_fract_x
_atom_site_fract_y
_atom_site_fract_z
Li1 Li 0.000 0.000 0.000
Ca1 Ca 0.376 0.376 0.376
Ca2 Ca 0.376 0.376 0.873
Ca3 Ca 0.376 0.873 0.376
Ca4 Ca 0.873 0.376 0.376
Ni1 Ni 0.750 0.750 0.750



Look up the DFT total energy of the first one. -2.7691 eV per atom



formation enthalpy at 0 K of number 3 (LiCaNi)? -45 meV/atom



Among the records above, which one has the highest formation enthalpy at 0 K? number 4



Which of these has the highest formation enthalpy at 0 K? number 4